Record 1
DFT (GGA-PBE) results for an optimized crystal structure of LiCuSe2N.

Output
SG: P4/mmm
Fermi-level density of states, states/eV/cell: 4.7
Formation energy without anion corrections, eV per atom: 0.49

Geometry as POSCAR:
```
LiCuSe2N
1.0
5.0995 0.0000 0.0000
0.0000 5.0995 0.0000
0.0000 0.0000 3.5214
Se Cu N Li
2 1 1 1
direct
0.5000 0.0000 0.0000 Se
0.0000 0.5000 0.0000 Se
0.0000 0.0000 0.0000 Cu
0.0000 0.0000 0.5000 N
0.5000 0.5000 0.5000 Li
```

***

Record 2
DFT (GGA-PBE) results for an optimized crystal structure of LiCuSe2N.

Output
SG: P4/mmm
Fermi-level density of states, states/eV/cell: 3.3
Formation energy without anion corrections, eV per atom: 1.02

Geometry as POSCAR:
```
LiCuSe2N
1.0
-2.6906 -1.5303 -3.6008
3.2558 -3.2991 -1.0308
-1.5647 -2.2019 2.1050
Se N Cu Li
2 1 1 1
direct
0.5000 0.0000 0.0000 Se
0.0000 0.5000 0.0000 Se
0.0000 0.0000 0.5000 N
0.5000 0.5000 0.5000 Cu
0.0000 0.0000 0.0000 Li
```

***

Record 3
DFT (GGA-PBE) results for an optimized crystal structure of LiCuSeN2.

Output
SG: P4/mmm
Fermi-level density of states, states/eV/cell: 4.1
Formation energy without anion corrections, eV per atom: 1.12

Geometry as POSCAR:
```
LiCuSeN2
1.0
3.8051 0.0000 0.0000
0.0000 3.8051 0.0000
0.0000 0.0000 5.2710
Se N Li Cu
1 2 1 1
direct
0.0000 0.0000 0.5000 Se
0.0000 0.5000 0.0000 N
0.5000 0.0000 0.0000 N
0.5000 0.5000 0.5000 Li
0.0000 0.0000 0.0000 Cu
```

***

Record 4
DFT (GGA-PBE) results for an optimized crystal structure of LiCuSe2N.

Output
SG: P4/mmm
Fermi-level density of states, states/eV/cell: 4.0
Formation energy without anion corrections, eV per atom: 1.48

Geometry as POSCAR:
```
LiCuSe2N
1.0
-3.3634 -2.9319 0.1342
2.7310 -3.1415 -0.1875
0.2331 -0.0634 4.4574
Se N Li Cu
2 1 1 1
direct
0.0000 0.0000 0.5000 Se
0.5000 0.0000 0.0000 Se
0.5000 0.5000 0.5000 N
0.0000 0.0000 0.0000 Li
0.0000 0.5000 0.0000 Cu
```

***

Record 5
DFT (GGA-PBE) results for an optimized crystal structure of Li2CuSnN.

Output
SG: P4/mmm
Fermi-level density of states, states/eV/cell: 0.9
Formation energy without anion corrections, eV per atom: 0.88

Geometry as POSCAR:
```
Li2CuSnN
1.0
4.2902 0.0000 0.0000
0.0000 4.7644 0.0000
0.0000 0.0000 4.2902
Li N Cu Sn
2 1 1 1
direct
0.0000 0.0000 0.5000 Li
0.5000 0.0000 0.0000 Li
0.5000 0.5000 0.5000 N
0.0000 0.0000 0.0000 Cu
0.0000 0.5000 0.0000 Sn
```

***

Record 6
DFT (GGA-PBE) results for an optimized crystal structure of Sr2LiCuN2.

Output
SG: Pnnm
Formation energy without anion corrections, eV per atom: -0.31

Geometry as POSCAR:
```
Sr2LiCuN2
1.0
-0.3933 2.9316 3.0259
-5.2711 -2.8764 2.1015
4.3956 -4.4722 4.9042
Cu N Sr Li
2 4 4 2
direct
0.5000 0.5000 0.5000 Cu
0.0000 0.0000 0.0000 Cu
0.0000 0.2670 0.0974 N
0.5000 0.7670 0.4026 N
0.0000 0.7330 0.9026 N
0.5000 0.2330 0.5974 N
0.5000 0.8762 0.7389 Sr
0.5000 0.1238 0.2611 Sr
0.0000 0.3762 0.7611 Sr
0.0000 0.6238 0.2389 Sr
0.0000 0.0000 0.5000 Li
0.5000 0.5000 0.0000 Li
```

***

Record 7
DFT (GGA-PBE) results for an optimized crystal structure of Li2CuTcN.

Output
SG: P4/mmm
Fermi-level density of states, states/eV/cell: 2.8
Formation energy without anion corrections, eV per atom: -0.11

Geometry as POSCAR:
```
Li2CuTcN
1.0
3.8677 0.0000 0.0000
0.0000 3.8677 0.0000
0.0000 0.0000 3.9116
Tc N Cu Li
1 1 1 2
direct
0.0000 0.0000 0.5000 Tc
0.0000 0.0000 0.0000 N
0.5000 0.5000 0.5000 Cu
0.0000 0.5000 0.0000 Li
0.5000 0.0000 0.0000 Li
```

***

Record 8
DFT (GGA-PBE) results for an optimized crystal structure of LiYCuN2.

Output
SG: P4/mmm
Fermi-level density of states, states/eV/cell: 3.2
Formation energy without anion corrections, eV per atom: 1.24

Geometry as POSCAR:
```
LiYCuN2
1.0
-2.5798 -0.5404 -3.0253
-1.4574 -4.0615 1.9683
-2.8150 2.0003 2.0431
N Y Li Cu
2 1 1 1
direct
0.5000 0.0000 0.0000 N
0.0000 0.0000 0.5000 N
0.0000 0.5000 0.0000 Y
0.5000 0.5000 0.5000 Li
0.0000 0.0000 0.0000 Cu
```

***

Record 9
DFT (GGA-PBE) results for an optimized crystal structure of Li2ZnCuN.

Output
SG: P4/mmm
Fermi-level density of states, states/eV/cell: 1.0
Formation energy without anion corrections, eV per atom: -0.11

Geometry as POSCAR:
```
Li2ZnCuN
1.0
-2.9405 0.4933 2.8311
2.3682 -1.8787 2.7870
1.4710 3.2745 0.9573
Li Zn Cu N
2 1 1 1
direct
0.0000 0.5000 0.0000 Li
0.5000 0.0000 0.0000 Li
0.5000 0.5000 0.5000 Zn
0.0000 0.0000 0.5000 Cu
0.0000 0.0000 0.0000 N
```

***

Record 10
DFT (GGA-PBE) results for an optimized crystal structure of Li2ZrCuN.

Output
SG: P4/mmm
Fermi-level density of states, states/eV/cell: 3.8
Formation energy without anion corrections, eV per atom: 0.83

Geometry as POSCAR:
```
Li2ZrCuN
1.0
-4.9671 -2.5850 0.5846
-0.2877 -0.3417 -3.9551
2.6188 -4.9780 0.2396
Cu Zr Li N
1 1 2 1
direct
0.5000 0.5000 0.5000 Cu
0.0000 0.0000 0.0000 Zr
0.0000 0.0000 0.5000 Li
0.5000 0.0000 0.0000 Li
0.0000 0.5000 0.0000 N
```

***

Record 11
DFT (GGA-PBE) results for an optimized crystal structure of Na2Li2Cu.

Output
SG: P4/mbm
Fermi-level density of states, states/eV/cell: 5.2
Calculated formation energy, eV/f.u.: 1.59

Geometry as POSCAR:
```
Na2Li2Cu
1.0
7.3145 0.0000 0.0000
0.0000 7.3145 0.0000
0.0000 0.0000 4.6034
Na Li Cu
4 4 2
direct
0.3554 0.8554 0.0000 Na
0.6446 0.1446 0.0000 Na
0.1446 0.3554 0.0000 Na
0.8554 0.6446 0.0000 Na
0.1762 0.6762 0.5000 Li
0.8238 0.3238 0.5000 Li
0.6762 0.8238 0.5000 Li
0.3238 0.1762 0.5000 Li
0.5000 0.5000 0.0000 Cu
0.0000 0.0000 0.0000 Cu
```

***

Record 12
DFT (GGA-PBE) results for an optimized crystal structure of NaLi2Cu2.

Output
SG: P4/mbm
Fermi-level density of states, states/eV/cell: 3.0
Calculated formation energy, eV/f.u.: 0.45

Geometry as POSCAR:
```
NaLi2Cu2
1.0
7.7348 0.0000 0.0000
0.0000 7.7348 0.0000
0.0000 0.0000 2.6902
Na Cu Li
2 4 4
direct
0.5000 0.5000 0.0000 Na
0.0000 0.0000 0.0000 Na
0.1606 0.6606 0.5000 Cu
0.3394 0.1606 0.5000 Cu
0.8394 0.3394 0.5000 Cu
0.6606 0.8394 0.5000 Cu
0.6297 0.1297 0.0000 Li
0.1297 0.3703 0.0000 Li
0.3703 0.8703 0.0000 Li
0.8703 0.6297 0.0000 Li
```

***

Record 13
DFT (GGA-PBE) results for an optimized crystal structure of Na2Li2Cu.

Output
SG: P4/mbm
Fermi-level density of states, states/eV/cell: 3.3
Calculated formation energy, eV/f.u.: 0.75

Geometry as POSCAR:
```
Na2Li2Cu
1.0
6.6773 0.0000 0.0000
0.0000 6.6773 0.0000
0.0000 0.0000 5.1442
Na Cu Li
4 2 4
direct
0.8158 0.3158 0.5000 Na
0.6842 0.8158 0.5000 Na
0.1842 0.6842 0.5000 Na
0.3158 0.1842 0.5000 Na
0.0000 0.0000 0.0000 Cu
0.5000 0.5000 0.0000 Cu
0.1502 0.3498 0.0000 Li
0.3498 0.8498 0.0000 Li
0.6502 0.1502 0.0000 Li
0.8498 0.6502 0.0000 Li
```

***

Record 14
DFT (GGA-PBE) results for an optimized crystal structure of NaLi2Cu2.

Output
SG: I4/mmm
Fermi-level density of states, states/eV/cell: 1.5
Calculated formation energy, eV/f.u.: 0.85

Geometry as POSCAR:
```
NaLi2Cu2
1.0
-1.0543 -1.7230 3.5353
2.7490 -2.9404 -0.6133
4.7382 0.7506 4.1236
Li Cu Na
2 2 1
direct
0.7500 0.2500 0.5000 Li
0.2500 0.7500 0.5000 Li
0.6056 0.6056 0.7889 Cu
0.3944 0.3944 0.2111 Cu
0.0000 0.0000 0.0000 Na
```

***

Record 15
DFT (GGA-PBE) results for an optimized crystal structure of Na3LiCu.

Output
SG: Pm-3m
Fermi-level density of states, states/eV/cell: 2.7
Calculated formation energy, eV/f.u.: 1.48

Geometry as POSCAR:
```
Na3LiCu
1.0
5.4907 0.0000 0.0000
0.0000 5.4907 0.0000
0.0000 0.0000 5.4907
Na Cu Li
3 1 1
direct
0.5000 0.0000 0.0000 Na
0.0000 0.0000 0.5000 Na
0.0000 0.5000 0.0000 Na
0.0000 0.0000 0.0000 Cu
0.5000 0.5000 0.5000 Li
```

***

Record 16
DFT (GGA-PBE) results for an optimized crystal structure of NaLi4Cu.

Output
SG: C2/m
Fermi-level density of states, states/eV/cell: 4.4
Calculated formation energy, eV/f.u.: 0.18

Geometry as POSCAR:
```
NaLi4Cu
1.0
4.7919 0.0126 -1.1513
-0.5928 6.5271 -2.3958
-0.3869 -0.6457 8.4992
Li Cu Na
8 2 2
direct
0.3976 0.6610 0.7918 Li
0.0000 0.8118 0.0000 Li
0.8465 0.3455 0.6910 Li
0.0000 0.1882 0.0000 Li
0.6024 0.8693 0.2082 Li
0.6024 0.3390 0.2082 Li
0.1535 0.6545 0.3090 Li
0.3976 0.1307 0.7918 Li
0.2552 0.4998 0.9997 Cu
0.7448 0.5002 0.0003 Cu
0.7922 0.7916 0.5831 Na
0.2078 0.2084 0.4169 Na
```

***

Record 17
DFT (GGA-PBE) results for an optimized crystal structure of NaLi2Cu2.

Output
SG: P4/mbm
Fermi-level density of states, states/eV/cell: 2.8
Calculated formation energy, eV/f.u.: 0.41

Geometry as POSCAR:
```
NaLi2Cu2
1.0
-1.3938 -7.4908 1.6215
3.8309 -2.1084 -6.4469
2.2684 -0.1217 1.3877
Cu Na Li
4 2 4
direct
0.6156 0.1156 0.0000 Cu
0.8844 0.6156 0.0000 Cu
0.3844 0.8844 0.0000 Cu
0.1156 0.3844 0.0000 Cu
0.5000 0.5000 0.0000 Na
0.0000 0.0000 0.0000 Na
0.3280 0.1720 0.5000 Li
0.1720 0.6720 0.5000 Li
0.8280 0.3280 0.5000 Li
0.6720 0.8280 0.5000 Li
```

***

Record 18
DFT (GGA-PBE) results for an optimized crystal structure of NaLi14Cu.

Output
SG: Amm2
Fermi-level density of states, states/eV/cell: 7.1
Calculated formation energy, eV/f.u.: 0.63

Geometry as POSCAR:
```
NaLi14Cu
1.0
6.0085 -0.1563 0.0000
-2.4987 5.4665 0.0000
0.0000 0.0000 9.6656
Li Cu Na
14 1 1
direct
0.8983 0.6435 0.2579 Li
0.3812 0.6188 0.2320 Li
0.7013 0.8356 0.0000 Li
0.5433 0.9244 0.5000 Li
0.8802 0.1198 0.7310 Li
0.1644 0.2987 0.0000 Li
0.1870 0.8130 0.0000 Li
0.8983 0.6435 0.7421 Li
0.8802 0.1198 0.2690 Li
0.0756 0.4567 0.5000 Li
0.3812 0.6188 0.7680 Li
0.6736 0.3264 0.0000 Li
0.3565 0.1017 0.7421 Li
0.3565 0.1017 0.2579 Li
0.0590 0.9410 0.5000 Cu
0.5634 0.4366 0.5000 Na
```

***

Record 19
DFT (GGA-PBE) results for an optimized crystal structure of NaLi2CuO2.

Output
SG: Pnnm
Fermi-level density of states, states/eV/cell: 0.0
Formation energy without anion corrections, eV per atom: -1.38

Geometry as POSCAR:
```
NaLi2CuO2
1.0
3.3197 0.0000 0.0000
0.0000 4.7922 0.0000
0.0000 0.0000 9.0042
Li O Na Cu
4 4 2 2
direct
0.0000 0.5892 0.2690 Li
0.5000 0.0892 0.2310 Li
0.0000 0.4108 0.7310 Li
0.5000 0.9108 0.7690 Li
0.5000 0.7525 0.3484 O
0.5000 0.2475 0.6516 O
0.0000 0.2525 0.1516 O
0.0000 0.7475 0.8484 O
0.5000 0.5000 0.0000 Na
0.0000 0.0000 0.5000 Na
0.5000 0.5000 0.5000 Cu
0.0000 0.0000 0.0000 Cu
```

***

Record 20
DFT (GGA-PBE) results for an optimized crystal structure of NaLi2CuO.

Output
SG: P4/mmm
Fermi-level density of states, states/eV/cell: 1.0
Formation energy without anion corrections, eV per atom: -0.54

Geometry as POSCAR:
```
NaLi2CuO
1.0
4.1073 0.0000 0.0000
0.0000 4.2164 0.0000
0.0000 0.0000 4.1073
Li Cu O Na
2 1 1 1
direct
0.5000 0.0000 0.0000 Li
0.0000 0.0000 0.5000 Li
0.0000 0.5000 0.0000 Cu
0.0000 0.0000 0.0000 O
0.5000 0.5000 0.5000 Na
```

***

Record 21
DFT (GGA-PBE) results for an optimized crystal structure of NaLiCuO2.

Output
SG: Cmme
Fermi-level density of states, states/eV/cell: 7.7
Formation energy without anion corrections, eV per atom: -1.06

Geometry as POSCAR:
```
NaLiCuO2
1.0
4.8460 0.0000 0.0000
0.0000 4.7220 0.0000
0.0000 -2.3610 5.3419
Na Li Cu O
2 2 2 4
direct
0.7012 0.2500 0.5000 Na
0.2988 0.7500 0.5000 Na
0.5000 0.7500 0.0000 Li
0.5000 0.2500 0.0000 Li
0.0000 0.5000 0.0000 Cu
0.0000 0.0000 0.0000 Cu
0.7154 0.6074 0.2149 O
0.2846 0.1074 0.2149 O
0.7154 0.8926 0.7851 O
0.2846 0.3926 0.7851 O
```

***

Record 22
DFT (GGA-PBE) results for an optimized crystal structure of NaLiCuP.

Output
SG: R3m
Fermi-level density of states, states/eV/cell: 0.4
Calculated formation energy, eV/f.u.: -1.53

Geometry as POSCAR:
```
NaLiCuP
1.0
-3.4439 -0.3396 -2.1400
0.1001 -1.1797 3.8942
-0.2354 5.4084 -0.4796
P Na Cu Li
1 1 1 1
direct
0.0940 0.1880 0.9241 P
0.6271 0.2541 0.5228 Na
0.4250 0.8501 0.9172 Cu
0.8202 0.6404 0.1033 Li
```

***

Record 23
DFT (GGA-PBE) results for an optimized crystal structure of NaLi2Cu2P2.

Output
SG: R-3m
Fermi-level density of states, states/eV/cell: 3.3
Calculated formation energy, eV/f.u.: -3.20

Geometry as POSCAR:
```
NaLi2Cu2P2
1.0
-2.9994 -0.3397 -2.5337
-2.0264 -3.3733 -0.2138
-6.9105 1.5380 4.9095
P Cu Li Na
2 2 2 1
direct
0.7549 0.7549 0.7353 P
0.2451 0.2451 0.2647 P
0.5778 0.5778 0.2667 Cu
0.4222 0.4222 0.7333 Cu
0.1390 0.1390 0.5830 Li
0.8610 0.8610 0.4170 Li
0.0000 0.0000 0.0000 Na
```

***

Record 24
DFT (GGA-PBE) results for an optimized crystal structure of NaLiCuPb.

Output
SG: F-43m
Fermi-level density of states, states/eV/cell: 2.2
Calculated formation energy, eV/f.u.: -0.26

Geometry as POSCAR:
```
NaLiCuPb
1.0
-0.3725 -3.8012 -2.9075
3.1303 -0.5911 -3.5907
3.2626 -3.5144 0.2143
Pb Li Cu Na
1 1 1 1
direct
0.5000 0.5000 0.5000 Pb
0.7500 0.7500 0.7500 Li
0.2500 0.2500 0.2500 Cu
0.0000 0.0000 0.0000 Na
```

***

Record 25
DFT (GGA-PBE) results for an optimized crystal structure of NaLiCuPd.

Output
SG: F-43m
Fermi-level density of states, states/eV/cell: 1.7
Calculated formation energy, eV/f.u.: -0.30

Geometry as POSCAR:
```
NaLiCuPd
1.0
-0.7649 4.3491 -0.7034
-4.1964 1.5040 -0.3500
-1.7517 2.5170 3.2544
Pd Cu Li Na
1 1 1 1
direct
0.5000 0.5000 0.5000 Pd
0.2500 0.2500 0.2500 Cu
0.7500 0.7500 0.7500 Li
0.0000 0.0000 0.0000 Na
```

***

Record 26
DFT (GGA-PBE) results for an optimized crystal structure of RbNa2LiCu.

Output
SG: P4/mmm
Fermi-level density of states, states/eV/cell: 2.3
Calculated formation energy, eV/f.u.: 1.04

Geometry as POSCAR:
```
RbNa2LiCu
1.0
5.7727 0.0000 0.0000
0.0000 5.7727 0.0000
0.0000 0.0000 5.2841
Na Li Cu Rb
2 1 1 1
direct
0.0000 0.5000 0.0000 Na
0.5000 0.0000 0.0000 Na
0.0000 0.0000 0.5000 Li
0.0000 0.0000 0.0000 Cu
0.5000 0.5000 0.5000 Rb
```